No. 1
Compound: PdPbSe
Source: Alexandria via LeMat-Bulk
Functional: GGA-PBE
Structure: relaxed

Unit cell a=6.407 b=6.108 c=7.275 alpha=90.00 beta=99.48 gamma=90.00
Space group P2_1/c (No. 14)
Asymmetric unit:
Pd 0.055 0.059 0.308 [4 per cell]
Pb 0.265 0.658 0.515 [4 per cell]
Se 0.276 0.166 0.671 [4 per cell]

## Properties
DFT total energy (eV/atom): -4.47
Calculated volume (Å³ per cell): 280.8
Total magnetic moment (μB/cell): 0.000
Mass density (kg/m3): 9285

No. 2
Compound: MgCd2Ag
Source: Alexandria via LeMat-Bulk
Functional: GGA-PBE
Structure: relaxed

Unit cell a=3.088 b=4.645 c=5.950 alpha=90.00 beta=104.46 gamma=90.00
Space group Pm (No. 6)
Asymmetric unit:
Mg 0.000 0.000 0.000 [1 per cell]
Cd 0.333 0.500 0.687 [1 per cell]
Cd 0.726 0.000 0.471 [1 per cell]
Ag 0.588 0.500 0.184 [1 per cell]

## Properties
Calculated volume (Å³ per cell): 82.6
Total magnetic moment (μB/cell): 0.000
E_form (eV/atom): -0.08
Mass density (kg/m3): 7172

No. 3
Compound: RbLiNb4N8
Source: Alexandria via LeMat-Bulk
Functional: GGA-PBE
Structure: relaxed

Unit cell a=6.4260 b=6.4260 c=16.6105 alpha=90.00 beta=90.00 gamma=120.00
Space group R3m (No. 160, hexagonal axes)
Asymmetric unit:
Rb 0.0000 0.0000 0.0000 [3 per cell]
Li 0.0000 0.0000 0.3686 [3 per cell]
Nb 0.0000 0.0000 0.7464 [3 per cell]
Nb 0.0077 0.5039 0.8716 [9 per cell]
N 0.0000 0.0000 0.1404 [3 per cell]
N 0.0000 0.0000 0.6068 [3 per cell]
N 0.1697 0.3393 0.4566 [9 per cell]
N 0.1947 0.3894 0.9297 [9 per cell]

## Properties
DFT total energy (eV/atom): -8.11
Calculated volume (Å³ per cell): 594.0
Total magnetic moment (μB/cell): 3.684
Mass density (kg/m3): 4831

No. 4
Compound: CsLaAu10
Source: Alexandria via LeMat-Bulk
Functional: GGA-PBE
Structure: relaxed

Unit cell a=4.387 b=6.262 c=10.219 alpha=90.00 beta=90.00 gamma=90.00
Space group Pmmm (No. 47)
Asymmetric unit:
Cs 0.000 0.000 0.000 [1 per cell]
La 0.000 0.500 0.500 [1 per cell]
Au 0.000 0.000 0.333 [2 per cell]
Au 0.000 0.500 0.172 [2 per cell]
Au 0.500 0.000 0.500 [1 per cell]
Au 0.500 0.276 0.283 [4 per cell]
Au 0.500 0.500 0.000 [1 per cell]

## Properties
Calculated volume (Å³ per cell): 280.7
Total magnetic moment (μB/cell): 0.000
E_form (eV/atom): -0.29
Mass density (kg/m3): 13259

Look up the calculated volume of the second one.
82.6 Å³ per cell